A plane-wave DFT calculation with PBE with a Hubbard U was carried out for a relaxed structure of AcCo2F8.

- Size of the total moment: 3.000 μB per formula unit
- Total DFT energy (no corrections): -57.36 eV for the cell shown

abc: 5.585 5.585 6.850
angles: 114.06 114.06 90.00
Fractional positions:
Ac  0.500  0.500  0.000
Co  0.750  0.250  0.500
Co  0.250  0.750  0.500
F  0.794  0.310  0.270
F  0.040  0.523  0.730
F  0.690  0.206  0.730
F  0.206  0.040  0.730
F  0.477  0.960  0.270
F  0.960  0.794  0.270
F  0.310  0.477  0.270
F  0.523  0.690  0.730